VASP calculation (PBEsol) on a relaxed structure of ZnCdRh2.

```
ZnCdRh2
1.0
2.912 0.000 0.000
0.000 4.472 0.000
0.000 0.000 9.070
Zn Cd Rh
2 2 4
direct
0.000 0.000 0.000
0.500 0.500 0.500
0.000 0.500 0.242
0.500 0.000 0.742
0.000 0.000 0.476
0.000 0.500 0.733
0.500 0.000 0.233
0.500 0.500 0.976
```

Values from the calculation:
crystal system: orthorhombic
formation enthalpy at 0 K: -53 meV/atom


VASP calculation (PBEsol) on a relaxed structure of BaAs2.

```
BaAs2
1.0
7.911 0.000 0.000
0.000 4.559 0.000
-0.008 0.000 9.252
Ba As
4 8
direct
0.003 0.000 0.250
0.497 0.500 0.750
0.503 0.500 0.250
0.997 0.000 0.750
0.162 0.500 0.518
0.172 0.500 0.018
0.328 0.000 0.982
0.338 0.000 0.482
0.662 0.000 0.518
0.672 0.000 0.018
0.828 0.500 0.982
0.838 0.500 0.482
```

Values from the calculation:
crystal system: monoclinic
formation enthalpy at 0 K: -783 meV/atom


VASP calculation (PBEsol) on a relaxed structure of La3TlPd.

```
La3TlPd
1.0
5.876 0.000 0.000
0.000 5.876 0.000
0.000 0.000 5.876
La Tl Pd
3 1 1
direct
0.000 0.000 0.500
0.000 0.500 0.000
0.500 0.000 0.000
0.000 0.000 0.000
0.500 0.500 0.500
```

Values from the calculation:
crystal system: cubic
formation enthalpy at 0 K: 633 meV/atom


VASP calculation (PBEsol) on a relaxed structure of AgBi2I.

```
AgBi2I
1.0
7.591 0.000 0.000
0.000 7.591 0.000
0.000 0.000 7.591
Ag Bi I
4 8 4
direct
0.000 0.000 0.000
0.000 0.500 0.500
0.500 0.000 0.500
0.500 0.500 0.000
0.250 0.250 0.250
0.250 0.250 0.750
0.250 0.750 0.250
0.250 0.750 0.750
0.750 0.250 0.250
0.750 0.250 0.750
0.750 0.750 0.250
0.750 0.750 0.750
0.000 0.000 0.500
0.000 0.500 0.000
0.500 0.000 0.000
0.500 0.500 0.500
```

Values from the calculation:
excess energy over the best structure of this formula in the dataset: 142 meV/atom
crystal system: cubic